# 1
# LiAlPd2S | the Alexandria database | PBE | optimized geometry
# E_tot = -3.779 eV per atom
# DOS at the Fermi energy = 0.09 states/eV per atom
# Formation energy from raw total energies = 0.255 eV/atom
data_LiAlPd2S
_chemical_formula_sum 'Li1 Al1 Pd2 S1'
_cell_length_a 4.5362
_cell_length_b 4.5362
_cell_length_c 4.8462
_cell_angle_alpha 90.00
_cell_angle_beta 90.00
_cell_angle_gamma 90.00
_space_group_name_H-M_alt 'P 4/m m m'
_space_group_IT_number 123
_space_group_name_Hall '-P 4 2'
loop_
_atom_site_label
_atom_site_type_symbol
_atom_site_fract_x
_atom_site_fract_y
_atom_site_fract_z
_atom_site_occupancy
Li1 Li 0.0000 0.0000 0.0000 1
Al1 Al 0.0000 0.0000 0.5000 1
Pd1 Pd 0.0000 0.5000 0.5000 1
S1 S 0.5000 0.5000 0.0000 1



# 2
# La2CeZn | the Alexandria database | PBE | optimized geometry
# E_tot = -4.234 eV per atom
# Formation energy = 12 kJ/mol of formula units
# DOS at the Fermi energy = 1.84 states/eV per atom
# Relative energy among the computed polymorphs = 141 meV per atom
data_La2CeZn
_chemical_formula_sum 'La6 Ce3 Zn3'
_cell_length_a 3.6445
_cell_length_b 3.6445
_cell_length_c 32.0717
_cell_angle_alpha 90.00
_cell_angle_beta 90.00
_cell_angle_gamma 120.00
_space_group_name_H-M_alt 'R 3 m'
_space_group_IT_number 160
_space_group_name_Hall 'R 3 -2"'
loop_
_atom_site_label
_atom_site_type_symbol
_atom_site_fract_x
_atom_site_fract_y
_atom_site_fract_z
_atom_site_occupancy
La1 La 0.0000 0.0000 0.0000 1
La2 La 0.0000 0.0000 0.1837 1
Ce1 Ce 0.0000 0.0000 0.4242 1
Zn1 Zn 0.0000 0.0000 0.5919 1



# 3
# Te5Ru | the Alexandria database | PBE | optimized geometry
# E_tot = -4.126 eV per atom
# DOS at the Fermi energy = 0.56 states/eV per atom
# Relative energy among the computed polymorphs = 16 meV per atom
# Formation energy from raw total energies = 0.038 eV/atom
data_Te5Ru
_chemical_formula_sum 'Te10 Ru2'
_cell_length_a 5.9571
_cell_length_b 4.0794
_cell_length_c 14.2653
_cell_angle_alpha 90.00
_cell_angle_beta 90.00
_cell_angle_gamma 90.00
_space_group_name_H-M_alt 'A m m 2'
_space_group_IT_number 38
_space_group_name_Hall 'A 2 -2'
loop_
_atom_site_label
_atom_site_type_symbol
_atom_site_fract_x
_atom_site_fract_y
_atom_site_fract_z
_atom_site_occupancy
Te1 Te 0.0000 0.0000 0.0000 1
Te2 Te 0.0000 0.0000 0.2404 1
Te3 Te 0.5000 0.0000 0.2995 1
Te4 Te 0.5000 0.0000 0.6257 1
Te5 Te 0.5000 0.0000 0.9660 1
Ru1 Ru 0.0000 0.0000 0.6255 1



# 4
# PmNpB12 | the Alexandria database | PBE | optimized geometry
# E_tot = -7.362 eV per atom
# Formation energy = -506 kJ/mol of formula units
# DOS at the Fermi energy = 0.53 states/eV per atom
data_PmNpB12
_chemical_formula_sum 'Pm1 Np1 B12'
_cell_length_a 4.1062
_cell_length_b 4.1062
_cell_length_c 8.2190
_cell_angle_alpha 90.00
_cell_angle_beta 90.00
_cell_angle_gamma 90.00
_space_group_name_H-M_alt 'P 4/m m m'
_space_group_IT_number 123
_space_group_name_Hall '-P 4 2'
loop_
_atom_site_label
_atom_site_type_symbol
_atom_site_fract_x
_atom_site_fract_y
_atom_site_fract_z
_atom_site_occupancy
Pm1 Pm 0.0000 0.0000 0.0000 1
Np1 Np 0.0000 0.0000 0.5000 1
B1 B 0.1986 0.5000 0.2510 1
B2 B 0.5000 0.5000 0.1000 1
B3 B 0.5000 0.5000 0.4012 1



# 5
# CuHgAs2 | the Alexandria database | PBE | optimized geometry
# E_tot = -3.260 eV per atom
# Formation energy = 63 kJ/mol of formula units
# DOS at the Fermi energy = 0.21 states/eV per atom
data_CuHgAs2
_chemical_formula_sum 'Cu2 Hg2 As4'
_cell_length_a 3.5268
_cell_length_b 3.8878
_cell_length_c 14.7395
_cell_angle_alpha 90.00
_cell_angle_beta 90.00
_cell_angle_gamma 90.00
_space_group_name_H-M_alt 'I m m 2'
_space_group_IT_number 44
_space_group_name_Hall 'I 2 -2'
loop_
_atom_site_label
_atom_site_type_symbol
_atom_site_fract_x
_atom_site_fract_y
_atom_site_fract_z
_atom_site_occupancy
Cu1 Cu 0.0000 0.0000 0.0000 1
Hg1 Hg 0.0000 0.5000 0.7692 1
As1 As 0.0000 0.0000 0.4726 1
As2 As 0.0000 0.5000 0.0971 1



# 6
# KBaGeBr5 | the Alexandria database | PBE | optimized geometry
# E_tot = -3.421 eV per atom
# DOS at the Fermi energy = 0.00 states/eV per atom
# Formation energy from raw total energies = -1.421 eV/atom
data_KBaGeBr5
_chemical_formula_sum 'K4 Ba4 Ge4 Br20'
_cell_length_a 11.1481
_cell_length_b 12.0314
_cell_length_c 10.9363
_cell_angle_alpha 90.00
_cell_angle_beta 112.68
_cell_angle_gamma 90.00
_space_group_name_H-M_alt 'C 1 2/c 1'
_space_group_IT_number 15
_space_group_name_Hall '-C 2yc'
loop_
_atom_site_label
_atom_site_type_symbol
_atom_site_fract_x
_atom_site_fract_y
_atom_site_fract_z
_atom_site_occupancy
K1 K 0.0000 0.0805 0.2500 1
Ba1 Ba 0.2500 0.2500 0.0000 1
Ge1 Ge 0.0000 0.4743 0.2500 1
Br1 Br 0.0000 0.1903 0.7500 1
Br2 Br 0.0049 0.3289 0.0819 1
Br3 Br 0.2255 0.0071 0.1146 1



# 7
# DyHo2Er6Th | the Alexandria database | PBE | optimized geometry
# E_tot = -4.709 eV per atom
# Formation energy = 141 kJ/mol of formula units
# DOS at the Fermi energy = 1.48 states/eV per atom
data_DyHo2Er6Th
_chemical_formula_sum 'Dy4 Ho8 Er24 Th4'
_cell_length_a 9.0063
_cell_length_b 14.7838
_cell_length_c 9.5895
_cell_angle_alpha 90.00
_cell_angle_beta 98.57
_cell_angle_gamma 90.00
_space_group_name_H-M_alt 'C 1 2/c 1'
_space_group_IT_number 15
_space_group_name_Hall '-C 2yc'
loop_
_atom_site_label
_atom_site_type_symbol
_atom_site_fract_x
_atom_site_fract_y
_atom_site_fract_z
_atom_site_occupancy
Dy1 Dy 0.0000 0.0225 0.2500 1
Ho1 Ho 0.2411 0.0508 0.5452 1
Er1 Er 0.0662 0.1882 0.9409 1
Er2 Er 0.0989 0.3968 0.1194 1
Er3 Er 0.1987 0.2259 0.3166 1
Th1 Th 0.0000 0.4043 0.7500 1



# 8
# ScTl2Ag | the Alexandria database | PBE | optimized geometry
# E_tot = -3.523 eV per atom
# Formation energy = -17 kJ/mol of formula units
# DOS at the Fermi energy = 0.67 states/eV per atom
data_ScTl2Ag
_chemical_formula_sum 'Sc2 Tl4 Ag2'
_cell_length_a 10.6188
_cell_length_b 3.5505
_cell_length_c 5.1952
_cell_angle_alpha 90.00
_cell_angle_beta 104.97
_cell_angle_gamma 90.00
_space_group_name_H-M_alt 'C 1 m 1'
_space_group_IT_number 8
_space_group_name_Hall 'C -2y'
loop_
_atom_site_label
_atom_site_type_symbol
_atom_site_fract_x
_atom_site_fract_y
_atom_site_fract_z
_atom_site_occupancy
Sc1 Sc 0.0000 0.0000 0.0000 1
Tl1 Tl 0.0203 0.5000 0.5260 1
Tl2 Tl 0.2548 0.5000 0.2196 1
Ag1 Ag 0.2694 0.0000 0.7417 1



# 9
# CaTbGaPb | the Alexandria database | PBE | optimized geometry
# E_tot = -3.774 eV per atom
# Formation energy = -167 kJ/mol of formula units
# DOS at the Fermi energy = 0.49 states/eV per atom
data_CaTbGaPb
_chemical_formula_sum 'Ca4 Tb4 Ga4 Pb4'
_cell_length_a 7.5469
_cell_length_b 7.5469
_cell_length_c 7.5469
_cell_angle_alpha 90.00
_cell_angle_beta 90.00
_cell_angle_gamma 90.00
_space_group_name_H-M_alt 'F -4 3 m'
_space_group_IT_number 216
_space_group_name_Hall 'F -4 2 3'
loop_
_atom_site_label
_atom_site_type_symbol
_atom_site_fract_x
_atom_site_fract_y
_atom_site_fract_z
_atom_site_occupancy
Ca1 Ca 0.0000 0.0000 0.0000 1
Tb1 Tb 0.0000 0.0000 0.5000 1
Ga1 Ga 0.2500 0.2500 0.2500 1
Pb1 Pb 0.2500 0.2500 0.7500 1



# 10
# CsNa2Pt2 | the Alexandria database | PBE | optimized geometry
# E_tot = -3.049 eV per atom
# Formation energy = 32 kJ/mol of formula units
# DOS at the Fermi energy = 0.50 states/eV per atom
# Relative energy among the computed polymorphs = 17 meV per atom
data_CsNa2Pt2
_chemical_formula_sum 'Cs2 Na4 Pt4'
_cell_length_a 5.0484
_cell_length_b 5.0484
_cell_length_c 11.3467
_cell_angle_alpha 90.00
_cell_angle_beta 90.00
_cell_angle_gamma 90.00
_space_group_name_H-M_alt 'I 4/m m m'
_space_group_IT_number 139
_space_group_name_Hall '-I 4 2'
loop_
_atom_site_label
_atom_site_type_symbol
_atom_site_fract_x
_atom_site_fract_y
_atom_site_fract_z
_atom_site_occupancy
Cs1 Cs 0.0000 0.0000 0.0000 1
Na1 Na 0.0000 0.5000 0.2500 1
Pt1 Pt 0.0000 0.0000 0.3881 1



# 11
# TaCd2Os | the Alexandria database | PBE | optimized geometry
# E_tot = -5.978 eV per atom
# Formation energy = 97 kJ/mol of formula units
# DOS at the Fermi energy = 0.86 states/eV per atom
# Relative energy among the computed polymorphs = 136 meV per atom
data_TaCd2Os
_chemical_formula_sum 'Ta2 Cd4 Os2'
_cell_length_a 3.1516
_cell_length_b 4.8566
_cell_length_c 9.8439
_cell_angle_alpha 90.00
_cell_angle_beta 90.00
_cell_angle_gamma 90.00
_space_group_name_H-M_alt 'C m m 2'
_space_group_IT_number 35
_space_group_name_Hall 'C 2 -2'
loop_
_atom_site_label
_atom_site_type_symbol
_atom_site_fract_x
_atom_site_fract_y
_atom_site_fract_z
_atom_site_occupancy
Ta1 Ta 0.0000 0.0000 0.0000 1
Cd1 Cd 0.0000 0.0000 0.5425 1
Cd2 Cd 0.0000 0.5000 0.2639 1
Os1 Os 0.0000 0.5000 0.7937 1



# 12
# AgSbRu2 | the Alexandria database | PBE | optimized geometry
# E_tot = -5.711 eV per atom
# DOS at the Fermi energy = 0.97 states/eV per atom
# Formation energy from raw total energies = 0.670 eV/atom
data_AgSbRu2
_chemical_formula_sum 'Ag4 Sb4 Ru8'
_cell_length_a 3.9637
_cell_length_b 3.9637
_cell_length_c 19.1076
_cell_angle_alpha 90.00
_cell_angle_beta 90.00
_cell_angle_gamma 90.00
_space_group_name_H-M_alt 'I -4 2 d'
_space_group_IT_number 122
_space_group_name_Hall 'I -4 2bw'
loop_
_atom_site_label
_atom_site_type_symbol
_atom_site_fract_x
_atom_site_fract_y
_atom_site_fract_z
_atom_site_occupancy
Ag1 Ag 0.0000 0.0000 0.0000 1
Sb1 Sb 0.0000 0.0000 0.5000 1
Ru1 Ru 0.1899 0.2500 0.1250 1



- The highest DOS at the Fermi energy belongs to which entry?
  La2CeZn



- Look up the E_tot of the second one.
  -4.234 eV per atom



- Among the records above, which one has the lowest E_tot?
  PmNpB12